Record 1
DFT (PBE-GGA) results for LiMnP2Cl after structural relaxation.

a b c (Å): 4.345 4.345 4.829
angles (deg): 90.00 90.00 90.00
Sites, in units of the cell vectors:
Li  0.000  0.000  0.000
Mn  0.500  0.500  0.500
P  0.000  0.500  0.000
P  0.500  0.000  0.000
Cl  0.000  0.000  0.500

The uncorrected formation energy is 0.548 eV per atom. Its space-group type is P4/mmm, No. 123. Its energy relative to the lowest polymorph listed for this composition is 0.7119 eV per atom. The calculation puts the magnetic moment at 3.92 μB per formula unit.

***

Record 2
DFT (PBE-GGA) results for RuRh2Au after structural relaxation.

a b c (Å): 4.423 4.423 4.423
angles (deg): 60.00 60.00 60.00
Sites, in units of the cell vectors:
Ru  0.000  0.000  0.000
Rh  0.500  0.500  0.500
Rh  0.750  0.750  0.750
Au  0.250  0.250  0.250

Its space-group type is F-43m, No. 216. Its energy relative to the lowest polymorph listed for this composition is 0.3857 eV per atom. The calculation puts the magnetic moment at 0.00 μB per formula unit. The value obtained for the formation energy is 1.8 eV/f.u.

***

Record 3
DFT (PBE-GGA) results for Ac6PmPr8 after structural relaxation.

a b c (Å): 9.258 9.258 9.258
angles (deg): 62.80 62.80 62.80
Sites, in units of the cell vectors:
Ac  0.042  0.741  0.590
Ac  0.259  0.410  0.958
Ac  0.410  0.958  0.259
Ac  0.590  0.042  0.741
Ac  0.741  0.590  0.042
Ac  0.958  0.259  0.410
Pm  0.500  0.500  0.500
Pr  0.075  0.075  0.075
Pr  0.206  0.262  0.612
Pr  0.262  0.612  0.206
Pr  0.388  0.794  0.738
Pr  0.612  0.206  0.262
Pr  0.738  0.388  0.794
Pr  0.794  0.738  0.388
Pr  0.925  0.925  0.925

Its space-group type is R-3, No. 148. The calculation puts the magnetic moment at 0.00 μB per formula unit. The value obtained for the formation energy is 1.6 eV/f.u.

***

Record 4
DFT (PBE-GGA) results for NiRu2Pt after structural relaxation.

a b c (Å): 4.706 4.706 4.706
angles (deg): 132.97 132.97 68.71
Sites, in units of the cell vectors:
Ni  0.000  0.000  0.000
Ru  0.250  0.750  0.500
Ru  0.750  0.250  0.500
Pt  0.500  0.500  0.000

Its space-group type is I4/mmm, No. 139. Its energy relative to the lowest polymorph listed for this composition is 0.0980 eV per atom. The calculation puts the magnetic moment at 0.82 μB per formula unit. The value obtained for the formation energy is 0.4 eV/f.u.

***

Copy entry 2 word for word.
DFT (PBE-GGA) results for RuRh2Au after structural relaxation.

a b c (Å): 4.423 4.423 4.423
angles (deg): 60.00 60.00 60.00
Sites, in units of the cell vectors:
Ru  0.000  0.000  0.000
Rh  0.500  0.500  0.500
Rh  0.750  0.750  0.750
Au  0.250  0.250  0.250

Its space-group type is F-43m, No. 216. Its energy relative to the lowest polymorph listed for this composition is 0.3857 eV per atom. The calculation puts the magnetic moment at 0.00 μB per formula unit. The value obtained for the formation energy is 1.8 eV/f.u.